This record from Alexandria via LeMat-Bulk describes crystalline Ho4OsAu at its relaxed geometry. The functional is PBE.

* space-group type: No. 15
* offset from the most stable computed form: 0.0 kJ/mol of formula units
* M_tot: 0.00 μB per formula unit
* final energy: -5.947 eV/atom

Cell: 6.2101 7.4889 7.4889 Å, 112.78 98.07 98.07°
Positions (direct):
Os (0.7500, 0.0009, 0.9991)
Os (0.2500, 0.9991, 0.0009)
Ho (0.0368, 0.9306, 0.2768)
Ho (0.9206, 0.6316, 0.7817)
Ho (0.5794, 0.2183, 0.3684)
Ho (0.4206, 0.7817, 0.6316)
Ho (0.5368, 0.2768, 0.9306)
Ho (0.4632, 0.7232, 0.0694)
Ho (0.9632, 0.0694, 0.7232)
Ho (0.0794, 0.3684, 0.2183)
Au (0.2500, 0.3712, 0.6288)
Au (0.7500, 0.6288, 0.3712)